Entry from the Open Quantum Materials Database: a relaxed NaDySO crystal (PBE-GGA).

**Offset from the most stable computed form**: 76.2 meV/atom
**Total energy**: -5.993 eV per atom
**Size of the total moment**: 0.000 μB per formula unit
**Theoretical density**: 5.5 g/cm³

Cell: 3.9192 3.9192 9.2033 Å, 90.00 90.00 90.00°
Last column: nearest neighbours and their distance in Å.
Space group P4/nmm (No. 129, origin choice 2)
Symmetry-distinct sites (fractional):
Na 0.2500 0.7500 0.0000 x2  4 S 2.70, 4 Na 2.77
Dy 0.2500 0.2500 0.3810 x2  4 O 2.24
S 0.2500 0.2500 0.7979 x2  4 Na 2.70
O 0.2500 0.7500 0.5000 x2  4 Dy 2.24